Compound: Y5Rh4
Source: the Alexandria database
Functional: PBE
Structure: optimized geometry

Cell lengths 8.4966, 8.4966, 6.3265 Å; angles 90.00, 90.00, 120.00 degrees
Space group P6_3/mcm (No. 193)
One atom of each set of equivalent atoms:
Y 0.0000 0.2703 0.2500 [6 per cell]
Y 0.3333 0.6667 0.0000 [4 per cell]
Rh 0.0000 0.0000 0.0000 [2 per cell]
Rh 0.0000 0.3894 0.7500 [6 per cell]

- M_tot: 0.0 Bohr magnetons per cell
- E_tot: -7.544 eV/atom
- ΔE_f: -0.6853 eV/atom
- Distance to the lowest polymorph of the same formula: 0.000 eV/atom

Compound: PmThScCd
Source: the Alexandria database
Functional: PBE
Structure: optimized geometry

Cell lengths 7.6346, 7.6346, 7.6346 Å; angles 90.00, 90.00, 90.00 degrees
Space group F-43m (No. 216)
One atom of each set of equivalent atoms:
Pm 0.0000 0.0000 0.0000 [4 per cell]
Th 0.2500 0.2500 0.2500 [4 per cell]
Sc 0.2500 0.2500 0.7500 [4 per cell]
Cd 0.0000 0.0000 0.5000 [4 per cell]

- M_tot: 0.1 Bohr magnetons per cell
- E_tot: -4.755 eV/atom
- ΔE_f: 0.0997 eV/atom
- Distance to the lowest polymorph of the same formula: 0.248 eV/atom

Compound: AcGa2SbAu5
Source: the Alexandria database
Functional: PBE
Structure: optimized geometry

Cell lengths 4.9948, 4.9948, 8.6528 Å; angles 90.00, 90.00, 90.00 degrees
Space group P4/mmm (No. 123)
One atom of each set of equivalent atoms:
Ac 0.0000 0.0000 0.0000 [1 per cell]
Ga 0.5000 0.5000 0.2877 [2 per cell]
Sb 0.0000 0.0000 0.5000 [1 per cell]
Au 0.0000 0.5000 0.3111 [4 per cell]
Au 0.5000 0.5000 0.0000 [1 per cell]

- M_tot: 0.0 Bohr magnetons per cell
- Raw formation energy: -0.25 eV/atom
- E_tot: -3.654 eV/atom